[1]
The following is a DFT calculation (GGA-PBE) of a relaxed structure of Th2Cu2SbRh5.

- space group = P4/mbm

Cell lengths 3.8285, 9.5678, 9.5678 Å; angles 90.00, 90.00, 90.00 degrees
Fractional coordinates of all 20 atoms:
1 Th 0.0000 0.3273 0.8273
2 Th 0.0000 0.1727 0.3273
3 Th 0.0000 0.8273 0.6727
4 Th 0.0000 0.6727 0.1727
5 Rh 0.5000 0.2929 0.5719
6 Rh 0.5000 0.5719 0.7071
7 Rh 0.5000 0.5000 0.0000
8 Rh 0.5000 0.9281 0.2071
9 Rh 0.5000 0.7929 0.9281
10 Rh 0.5000 0.2071 0.0719
11 Rh 0.5000 0.4281 0.2929
12 Rh 0.5000 0.7071 0.4281
13 Rh 0.5000 0.0000 0.5000
14 Rh 0.5000 0.0719 0.7929
15 Cu 0.0000 0.1238 0.6238
16 Cu 0.0000 0.3762 0.1238
17 Cu 0.0000 0.8762 0.3762
18 Cu 0.0000 0.6238 0.8762
19 Sb 0.0000 0.5000 0.5000
20 Sb 0.0000 0.0000 0.0000


[2]
The following is a DFT calculation (GGA-PBE) of a relaxed structure of TiCuSbRh.

- space group = F-43m

Cell lengths 4.4926, 4.4926, 4.4926 Å; angles 60.00, 60.00, 60.00 degrees
Fractional coordinates of all 4 atoms:
1 Rh 0.5000 0.5000 0.5000
2 Cu 0.0000 0.0000 0.0000
3 Sb 0.7500 0.7500 0.7500
4 Ti 0.2500 0.2500 0.2500


[3]
The following is a DFT calculation (GGA-PBE) of a relaxed structure of Tm2Cu2SbRh5.

- space group = P4/mbm

Cell lengths 3.7940, 9.3485, 9.3485 Å; angles 90.00, 90.00, 90.00 degrees
Fractional coordinates of all 20 atoms:
1 Cu 0.0000 0.8765 0.3765
2 Cu 0.0000 0.1235 0.6235
3 Cu 0.0000 0.6235 0.8765
4 Cu 0.0000 0.3765 0.1235
5 Tm 0.0000 0.8274 0.6726
6 Tm 0.0000 0.1726 0.3274
7 Tm 0.0000 0.3274 0.8274
8 Tm 0.0000 0.6726 0.1726
9 Rh 0.5000 0.5000 0.0000
10 Rh 0.5000 0.7929 0.9288
11 Rh 0.5000 0.9288 0.2071
12 Rh 0.5000 0.0000 0.5000
13 Rh 0.5000 0.0712 0.7929
14 Rh 0.5000 0.7071 0.4288
15 Rh 0.5000 0.2071 0.0712
16 Rh 0.5000 0.4288 0.2929
17 Rh 0.5000 0.2929 0.5712
18 Rh 0.5000 0.5712 0.7071
19 Sb 0.0000 0.5000 0.5000
20 Sb 0.0000 0.0000 0.0000


Number 1: mass density 11.63 g/cm³, formation energy without anion corrections -0.670 eV per atom. Number 2: mass density 8.70 g/cm³, formation energy without anion corrections -0.312 eV per atom. Number 3: mass density 11.03 g/cm³, formation energy without anion corrections -0.572 eV per atom.